The following is a DFT calculation (GGA-PBE) of a relaxed structure of RbCaSe2Br.

Output
As for the space-group type: P4/mmm, No. 123. The electronic total energy is -16.74 eV/cell. Its volume is 37.25 A^3/atom. For the distance to the lowest polymorph of the same formula, the calculation gives 0 meV per atom. The calculation puts the uncorrected formation energy at -1025 meV/atom.

Geometry as CIF:
```
data_RbCaSe2Br
_cell_length_a 5.651
_cell_length_b 5.651
_cell_length_c 5.833
_cell_angle_alpha 90.00
_cell_angle_beta 90.00
_cell_angle_gamma 90.00
_space_group_name_H-M_alt 'P 1'
_space_group_IT_number 1
loop_
_space_group_symop_operation_xyz
'x,y,z'
loop_
_atom_site_label
_atom_site_fract_x
_atom_site_fract_y
_atom_site_fract_z
Br1 0.000 0.000 0.500
Rb1 0.500 0.500 0.500
Se1 0.000 0.500 0.000
Se2 0.500 0.000 0.000
Ca1 0.000 0.000 0.000
```